Entry 1:
A plane-wave DFT calculation with GGA-PBE was carried out for a geometry-optimized RbReS2N structure.

Space group ... P4/mmm
Density of states at the Fermi level ... 1.858 states/eV per atom
Offset from the most stable computed form ... 16.467 eV/f.u.
ΔE_f (raw) ... 3163.9 meV per atom

a = 5.226 Å, b = 5.226 Å, c = 3.994 Å
α = 90.00°, β = 90.00°, γ = 90.00°
Element x y z (fractional)
Rb  0.000  0.000  0.000
Re  0.500  0.500  0.500
S  0.000  0.500  0.000
S  0.500  0.000  0.000
N  0.000  0.000  0.500

Entry 2:
A plane-wave DFT calculation with GGA-PBE was carried out for a geometry-optimized RbReS2N structure.

Space group ... P4/mmm
Density of states at the Fermi level ... 4.058 states/eV per atom
Offset from the most stable computed form ... 20.795 eV/f.u.
ΔE_f (raw) ... 4029.6 meV per atom

a = 5.281 Å, b = 5.281 Å, c = 5.244 Å
α = 90.00°, β = 90.00°, γ = 90.00°
Element x y z (fractional)
Rb  0.000  0.000  0.000
Re  0.000  0.000  0.500
S  0.000  0.500  0.000
S  0.500  0.000  0.000
N  0.500  0.500  0.500

Entry 3:
A plane-wave DFT calculation with GGA-PBE was carried out for a geometry-optimized RbReSeN2 structure.

Space group ... P4/mmm
Density of states at the Fermi level ... 0.522 states/eV per atom
Offset from the most stable computed form ... 0.000 eV/f.u.
ΔE_f (raw) ... 381.8 meV per atom

a = 4.053 Å, b = 4.053 Å, c = 5.206 Å
α = 90.00°, β = 90.00°, γ = 90.00°
Element x y z (fractional)
Rb  0.000  0.000  0.000
Re  0.500  0.500  0.500
Se  0.500  0.500  0.000
N  0.000  0.500  0.500
N  0.500  0.000  0.500

Entry 4:
A plane-wave DFT calculation with GGA-PBE was carried out for a geometry-optimized RbReSeN2 structure.

Space group ... P4/mmm
Density of states at the Fermi level ... 1.989 states/eV per atom
Offset from the most stable computed form ... 15.697 eV/f.u.
ΔE_f (raw) ... 3521.2 meV per atom

a = 4.022 Å, b = 4.022 Å, c = 5.921 Å
α = 90.00°, β = 90.00°, γ = 90.00°
Element x y z (fractional)
Rb  0.000  0.000  0.000
Re  0.500  0.500  0.500
Se  0.000  0.000  0.500
N  0.000  0.500  0.000
N  0.500  0.000  0.000

Entry 5:
A plane-wave DFT calculation with GGA-PBE was carried out for a geometry-optimized RbSm2Re2N6 structure.

Space group ... P-1
Density of states at the Fermi level ... 0.261 states/eV per atom
ΔE_f (raw) ... -576.5 meV per atom

a = 6.207 Å, b = 6.741 Å, c = 7.111 Å
α = 61.74°, β = 86.28°, γ = 63.67°
Element x y z (fractional)
Rb  0.000  0.000  0.000
Sm  0.356  0.563  0.729
Sm  0.644  0.437  0.271
Re  0.379  0.072  0.315
Re  0.621  0.928  0.685
N  0.070  0.272  0.309
N  0.420  0.773  0.340
N  0.485  0.754  0.892
N  0.515  0.246  0.108
N  0.580  0.227  0.660
N  0.930  0.728  0.691

Entry 6:
A plane-wave DFT calculation with GGA-PBE was carried out for a geometry-optimized RbSmReN3 structure.

Space group ... C2/m
Density of states at the Fermi level ... 0.345 states/eV per atom
ΔE_f (raw) ... -500.2 meV per atom

a = 7.114 Å, b = 7.114 Å, c = 8.206 Å
α = 103.98°, β = 103.98°, γ = 32.06°
Element x y z (fractional)
Rb  0.140  0.140  0.069
Rb  0.860  0.860  0.931
Sm  0.162  0.162  0.579
Sm  0.838  0.838  0.421
Re  0.495  0.495  0.661
Re  0.505  0.505  0.339
N  0.011  0.011  0.337
N  0.343  0.343  0.621
N  0.369  0.369  0.221
N  0.631  0.631  0.779
N  0.657  0.657  0.379
N  0.989  0.989  0.663

Entry 7:
A plane-wave DFT calculation with GGA-PBE was carried out for a geometry-optimized RbSr2ReN4 structure.

Space group ... Pmn2_1
Density of states at the Fermi level ... 0.000 states/eV per atom
ΔE_f (raw) ... -666.0 meV per atom

a = 8.711 Å, b = 6.280 Å, c = 6.070 Å
α = 90.00°, β = 90.00°, γ = 90.00°
Element x y z (fractional)
Rb  0.000  0.193  0.000
Rb  0.500  0.807  0.500
Sr  0.247  0.300  0.515
Sr  0.253  0.700  0.015
Sr  0.747  0.700  0.015
Sr  0.753  0.300  0.515
Re  0.000  0.798  0.534
Re  0.500  0.202  0.034
N  0.000  0.088  0.485
N  0.000  0.757  0.833
N  0.176  0.678  0.418
N  0.324  0.322  0.918
N  0.500  0.243  0.333
N  0.500  0.912  0.985
N  0.676  0.322  0.918
N  0.824  0.678  0.418

Entry 8:
A plane-wave DFT calculation with GGA-PBE was carried out for a geometry-optimized RbSr2Re2N6 structure.

Space group ... P-1
Density of states at the Fermi level ... 0.251 states/eV per atom
ΔE_f (raw) ... -322.0 meV per atom

a = 6.546 Å, b = 6.901 Å, c = 7.038 Å
α = 93.85°, β = 116.39°, γ = 114.08°
Element x y z (fractional)
Rb  0.000  0.000  0.000
Sr  0.392  0.283  0.674
Sr  0.608  0.717  0.326
Re  0.214  0.674  0.674
Re  0.786  0.326  0.326
N  0.135  0.894  0.678
N  0.267  0.565  0.906
N  0.458  0.709  0.605
N  0.542  0.291  0.395
N  0.733  0.435  0.094
N  0.865  0.106  0.322

Entry 9:
A plane-wave DFT calculation with GGA-PBE was carried out for a geometry-optimized Rb2SrRe2N6 structure.

Space group ... C2/m
Density of states at the Fermi level ... 0.086 states/eV per atom
ΔE_f (raw) ... -96.5 meV per atom

a = 6.639 Å, b = 6.639 Å, c = 7.803 Å
α = 118.75°, β = 118.75°, γ = 59.78°
Element x y z (fractional)
Rb  0.212  0.212  0.191
Rb  0.788  0.788  0.809
Sr  0.000  0.000  0.500
Re  0.458  0.458  0.799
Re  0.542  0.542  0.201
N  0.246  0.697  0.236
N  0.271  0.271  0.651
N  0.303  0.754  0.764
N  0.697  0.246  0.236
N  0.729  0.729  0.349
N  0.754  0.303  0.764

Entry 10:
A plane-wave DFT calculation with GGA-PBE was carried out for a geometry-optimized RbSrReN3 structure.

Space group ... C2/m
Density of states at the Fermi level ... 0.024 states/eV per atom
ΔE_f (raw) ... -232.0 meV per atom

a = 7.268 Å, b = 7.268 Å, c = 8.777 Å
α = 104.98°, β = 104.98°, γ = 31.09°
Element x y z (fractional)
Rb  0.134  0.134  0.062
Rb  0.866  0.866  0.938
Sr  0.169  0.169  0.611
Sr  0.831  0.831  0.389
Re  0.488  0.488  0.659
Re  0.512  0.512  0.341
N  0.014  0.014  0.360
N  0.357  0.357  0.674
N  0.385  0.385  0.205
N  0.615  0.615  0.795
N  0.643  0.643  0.326
N  0.986  0.986  0.640

Entry 11:
A plane-wave DFT calculation with GGA-PBE was carried out for a geometry-optimized RbTb2Re2N6 structure.

Space group ... P-1
Density of states at the Fermi level ... 0.300 states/eV per atom
ΔE_f (raw) ... -603.8 meV per atom

a = 6.160 Å, b = 6.707 Å, c = 7.002 Å
α = 62.04°, β = 86.10°, γ = 63.21°
Element x y z (fractional)
Rb  0.000  0.000  0.000
Tb  0.361  0.565  0.730
Tb  0.639  0.435  0.270
Re  0.376  0.072  0.315
Re  0.624  0.928  0.685
N  0.061  0.265  0.311
N  0.428  0.768  0.341
N  0.495  0.745  0.896
N  0.505  0.255  0.104
N  0.572  0.232  0.659
N  0.939  0.735  0.689

Entry 12:
A plane-wave DFT calculation with GGA-PBE was carried out for a geometry-optimized RbTbReN3 structure.

Space group ... C2/m
Density of states at the Fermi level ... 0.357 states/eV per atom
ΔE_f (raw) ... -535.9 meV per atom

a = 7.030 Å, b = 7.030 Å, c = 8.166 Å
α = 103.59°, β = 103.59°, γ = 32.21°
Element x y z (fractional)
Rb  0.142  0.142  0.069
Rb  0.858  0.858  0.931
Tb  0.162  0.162  0.572
Tb  0.838  0.838  0.428
Re  0.496  0.496  0.662
Re  0.504  0.504  0.338
N  0.011  0.011  0.336
N  0.340  0.340  0.615
N  0.366  0.366  0.225
N  0.634  0.634  0.775
N  0.660  0.660  0.385
N  0.989  0.989  0.664

Entry 13:
A plane-wave DFT calculation with GGA-PBE was carried out for a geometry-optimized RbThReN4 structure.

Space group ... P2_1/m
Density of states at the Fermi level ... 0.000 states/eV per atom
ΔE_f (raw) ... -725.9 meV per atom

a = 6.266 Å, b = 6.056 Å, c = 8.048 Å
α = 90.00°, β = 103.77°, γ = 90.00°
Element x y z (fractional)
Rb  0.200  0.250  0.418
Rb  0.800  0.750  0.582
Th  0.287  0.250  0.942
Th  0.713  0.750  0.058
Re  0.237  0.750  0.150
Re  0.763  0.250  0.850
N  0.046  0.750  0.289
N  0.048  0.750  0.943
N  0.430  0.515  0.162
N  0.430  0.985  0.162
N  0.570  0.015  0.838
N  0.570  0.485  0.838
N  0.952  0.250  0.057
N  0.954  0.250  0.711

Entry 14:
A plane-wave DFT calculation with GGA-PBE was carried out for a geometry-optimized Rb3U3ReN8 structure.

Space group ... R-3m
Density of states at the Fermi level ... 0.507 states/eV per atom
ΔE_f (raw) ... -713.8 meV per atom

a = 7.799 Å, b = 7.799 Å, c = 7.799 Å
α = 51.74°, β = 51.74°, γ = 51.74°
Element x y z (fractional)
Rb  0.000  0.500  0.500
Rb  0.500  0.000  0.500
Rb  0.500  0.500  0.000
U  0.000  0.000  0.500
U  0.000  0.500  0.000
U  0.500  0.000  0.000
Re  0.500  0.500  0.500
N  0.218  0.218  0.218
N  0.221  0.713  0.713
N  0.287  0.287  0.779
N  0.287  0.779  0.287
N  0.713  0.221  0.713
N  0.713  0.713  0.221
N  0.779  0.287  0.287
N  0.782  0.782  0.782

Entry 15:
A plane-wave DFT calculation with GGA-PBE was carried out for a geometry-optimized Rb2ReWN structure.

Space group ... P4/mmm
Density of states at the Fermi level ... 1.523 states/eV per atom
ΔE_f (raw) ... 1855.4 meV per atom

a = 7.033 Å, b = 7.033 Å, c = 3.851 Å
α = 90.00°, β = 90.00°, γ = 90.00°
Element x y z (fractional)
Rb  0.000  0.500  0.000
Rb  0.500  0.000  0.000
Re  0.000  0.000  0.500
W  0.500  0.500  0.000
N  0.500  0.500  0.500

Entry 16:
A plane-wave DFT calculation with GGA-PBE was carried out for a geometry-optimized Rb2YRe2N6 structure.

Space group ... C2/m
Density of states at the Fermi level ... 0.373 states/eV per atom
ΔE_f (raw) ... -354.0 meV per atom

a = 6.380 Å, b = 6.380 Å, c = 7.349 Å
α = 115.85°, β = 115.85°, γ = 59.96°
Element x y z (fractional)
Rb  0.225  0.225  0.177
Rb  0.775  0.775  0.823
Y  0.000  0.000  0.500
Re  0.430  0.430  0.787
Re  0.570  0.570  0.213
N  0.249  0.249  0.713
N  0.250  0.720  0.717
N  0.280  0.750  0.283
N  0.720  0.250  0.717
N  0.750  0.280  0.283
N  0.751  0.751  0.287

Entry 17:
A plane-wave DFT calculation with GGA-PBE was carried out for a geometry-optimized RbRhN2 structure.

Space group ... I-42d
Density of states at the Fermi level ... 1.373 states/eV per atom
Offset from the most stable computed form ... 0.000 eV/f.u.
ΔE_f (raw) ... 433.4 meV per atom

a = 6.024 Å, b = 6.024 Å, c = 7.907 Å
α = 90.00°, β = 90.00°, γ = 90.00°
Element x y z (fractional)
Rb  0.000  0.000  0.000
Rb  0.000  0.500  0.250
Rb  0.500  0.000  0.750
Rb  0.500  0.500  0.500
Rh  0.000  0.000  0.500
Rh  0.000  0.500  0.750
Rh  0.500  0.000  0.250
Rh  0.500  0.500  0.000
N  0.107  0.250  0.625
N  0.250  0.607  0.875
N  0.250  0.893  0.375
N  0.393  0.250  0.125
N  0.607  0.750  0.125
N  0.750  0.107  0.375
N  0.750  0.393  0.875
N  0.893  0.750  0.625

Entry 18:
A plane-wave DFT calculation with GGA-PBE was carried out for a geometry-optimized RbRhN2 structure.

Space group ... R-3m
Density of states at the Fermi level ... 0.768 states/eV per atom
Offset from the most stable computed form ... 1.898 eV/f.u.
ΔE_f (raw) ... 907.8 meV per atom

a = 3.355 Å, b = 3.355 Å, c = 20.149 Å
α = 90.00°, β = 90.00°, γ = 120.00°
Element x y z (fractional)
Rb  0.000  0.000  0.000
Rb  0.333  0.667  0.667
Rb  0.667  0.333  0.333
Rh  0.000  0.000  0.500
Rh  0.333  0.667  0.167
Rh  0.667  0.333  0.833
N  0.000  0.000  0.128
N  0.000  0.000  0.872
N  0.333  0.667  0.538
N  0.333  0.667  0.795
N  0.667  0.333  0.205
N  0.667  0.333  0.462

Entry 19:
A plane-wave DFT calculation with GGA-PBE was carried out for a geometry-optimized RbRh3N structure.

Space group ... Pm-3m
Density of states at the Fermi level ... 1.038 states/eV per atom
Offset from the most stable computed form ... 0.000 eV/f.u.
ΔE_f (raw) ... 703.4 meV per atom

a = 4.286 Å, b = 4.286 Å, c = 4.286 Å
α = 90.00°, β = 90.00°, γ = 90.00°
Element x y z (fractional)
Rb  0.000  0.000  0.000
Rh  0.000  0.500  0.500
Rh  0.500  0.000  0.500
Rh  0.500  0.500  0.000
N  0.500  0.500  0.500

Entry 20:
A plane-wave DFT calculation with GGA-PBE was carried out for a geometry-optimized RbRh2N structure.

Space group ... I4_1/amd
Density of states at the Fermi level ... 0.772 states/eV per atom
ΔE_f (raw) ... 251.4 meV per atom

a = 6.261 Å, b = 6.261 Å, c = 8.877 Å
α = 90.00°, β = 90.00°, γ = 90.00°
Element x y z (fractional)
Rb  0.000  0.250  0.375
Rb  0.000  0.750  0.625
Rb  0.500  0.250  0.125
Rb  0.500  0.750  0.875
Rh  0.000  0.000  0.000
Rh  0.000  0.500  0.000
Rh  0.250  0.250  0.750
Rh  0.250  0.750  0.250
Rh  0.500  0.000  0.500
Rh  0.500  0.500  0.500
Rh  0.750  0.250  0.750
Rh  0.750  0.750  0.250
N  0.000  0.250  0.875
N  0.000  0.750  0.125
N  0.500  0.250  0.625
N  0.500  0.750  0.375

Entry 21:
A plane-wave DFT calculation with GGA-PBE was carried out for a geometry-optimized RbRhN structure.

Space group ... P2_13
Density of states at the Fermi level ... 0.818 states/eV per atom
ΔE_f (raw) ... 553.7 meV per atom

a = 5.959 Å, b = 5.959 Å, c = 5.959 Å
α = 90.00°, β = 90.00°, γ = 90.00°
Element x y z (fractional)
Rb  0.136  0.136  0.136
Rb  0.364  0.864  0.636
Rb  0.636  0.364  0.864
Rb  0.864  0.636  0.364
Rh  0.144  0.356  0.644
Rh  0.356  0.644  0.144
Rh  0.644  0.144  0.356
Rh  0.856  0.856  0.856
N  0.099  0.599  0.901
N  0.401  0.401  0.401
N  0.599  0.901  0.099
N  0.901  0.099  0.599

Entry 22:
A plane-wave DFT calculation with GGA-PBE was carried out for a geometry-optimized RbRhN2 structure.

Space group ... Fm-3m
Density of states at the Fermi level ... 0.662 states/eV per atom
Offset from the most stable computed form ... 6.243 eV/f.u.
ΔE_f (raw) ... 1994.1 meV per atom

a = 5.983 Å, b = 5.983 Å, c = 5.983 Å
α = 90.00°, β = 90.00°, γ = 90.00°
Element x y z (fractional)
Rb  0.000  0.000  0.000
Rb  0.000  0.500  0.500
Rb  0.500  0.000  0.500
Rb  0.500  0.500  0.000
Rh  0.000  0.000  0.500
Rh  0.000  0.500  0.000
Rh  0.500  0.000  0.000
Rh  0.500  0.500  0.500
N  0.250  0.250  0.250
N  0.250  0.250  0.750
N  0.250  0.750  0.250
N  0.250  0.750  0.750
N  0.750  0.250  0.250
N  0.750  0.250  0.750
N  0.750  0.750  0.250
N  0.750  0.750  0.750

Entry 23:
A plane-wave DFT calculation with GGA-PBE was carried out for a geometry-optimized RbRhN2 structure.

Space group ... R-3m
Density of states at the Fermi level ... 0.832 states/eV per atom
Offset from the most stable computed form ... 2.857 eV/f.u.
ΔE_f (raw) ... 1147.7 meV per atom

a = 3.934 Å, b = 3.934 Å, c = 21.424 Å
α = 90.00°, β = 90.00°, γ = 120.00°
Element x y z (fractional)
Rb  0.000  0.000  0.000
Rb  0.333  0.667  0.667
Rb  0.667  0.333  0.333
Rh  0.000  0.000  0.500
Rh  0.333  0.667  0.167
Rh  0.667  0.333  0.833
N  0.000  0.000  0.419
N  0.000  0.000  0.581
N  0.333  0.667  0.085
N  0.333  0.667  0.248
N  0.667  0.333  0.752
N  0.667  0.333  0.915

Entry 24:
A plane-wave DFT calculation with GGA-PBE was carried out for a geometry-optimized RbRh3N structure.

Space group ... Pm-3m
Density of states at the Fermi level ... 1.980 states/eV per atom
Offset from the most stable computed form ... 13.356 eV/f.u.
ΔE_f (raw) ... 3374.6 meV per atom

a = 4.995 Å, b = 4.995 Å, c = 4.995 Å
α = 90.00°, β = 90.00°, γ = 90.00°
Element x y z (fractional)
Rb  0.000  0.000  0.000
Rh  0.000  0.000  0.500
Rh  0.000  0.500  0.000
Rh  0.500  0.000  0.000
N  0.500  0.500  0.500